No. 1
Compound: Li8Bi4Pb3
Source: Alexandria via LeMat-Bulk
Functional: PBE-GGA
Structure: relaxed

Calculated values
- Space group: Fm-3m
- Raw total energy: -3.17 eV/atom
- Formation enthalpy at 0 K: -0.37 eV/atom
- Crystal system: cubic
- DOS(E_F): 0.2969 states/eV/atom

a b c (Å): 10.021 10.021 10.021
angles (deg): 60.00 60.00 60.00
Fractional positions:
Li  0.093  0.636  0.636
Li  0.132  0.132  0.132
Li  0.132  0.132  0.603
Li  0.132  0.603  0.132
Li  0.364  0.364  0.364
Li  0.364  0.364  0.907
Li  0.364  0.907  0.364
Li  0.397  0.868  0.868
Li  0.603  0.132  0.132
Li  0.636  0.093  0.636
Li  0.636  0.636  0.093
Li  0.636  0.636  0.636
Li  0.868  0.397  0.868
Li  0.868  0.868  0.397
Li  0.868  0.868  0.868
Li  0.907  0.364  0.364
Bi  0.000  0.000  0.000
Bi  0.000  0.000  0.500
Bi  0.000  0.500  0.000
Bi  0.000  0.500  0.500
Bi  0.500  0.000  0.000
Bi  0.500  0.000  0.500
Bi  0.500  0.500  0.000
Bi  0.500  0.500  0.500
Pb  0.252  0.252  0.748
Pb  0.252  0.748  0.252
Pb  0.252  0.748  0.748
Pb  0.748  0.252  0.252
Pb  0.748  0.252  0.748
Pb  0.748  0.748  0.252

---

No. 2
Compound: ThSiIr
Source: Alexandria via LeMat-Bulk
Functional: PBE-GGA
Structure: relaxed

Calculated values
- Space group: Imma
- Formation energy (no corrections): -0.85 eV/atom
- Raw total energy: -8.09 eV/atom
- Crystal system: orthorhombic
- DOS(E_F): 0.7154 states/eV/atom

a b c (Å): 8.098 8.098 8.098
angles (deg): 150.91 150.58 41.84
Fractional positions:
Th  0.373  0.123  0.250
Th  0.627  0.877  0.750
Si  0.040  0.290  0.750
Si  0.960  0.710  0.250
Ir  0.196  0.446  0.750
Ir  0.804  0.554  0.250